The following is a DFT calculation (PBE) of an optimized crystal structure of YCoBr2.

Cell and atoms, written as extended XYZ:
```
4
Lattice="-1.778 2.013 7.216 1.778 -2.013 7.216 1.778 2.013 -7.216" Properties=species:S:1:pos:R:3 pbc="T T T"
Y 0.000 0.000 0.000
Co 1.778 0.000 1.939
Br 0.000 0.000 5.712
Br 0.000 2.013 2.070
```

Calculated values
uncorrected formation energy = -550 meV/atom
space group = Imm2, No. 44
crystal system = orthorhombic
offset from the most stable computed form = 195 meV/atom


The following is a DFT calculation (PBE) of an optimized crystal structure of KTaIn.

Cell and atoms, written as extended XYZ:
```
3
Lattice="0.000 3.607 3.607 3.607 0.000 3.607 3.607 3.607 0.000" Properties=species:S:1:pos:R:3 pbc="T T T"
K 0.000 0.000 0.000
Ta 3.607 3.607 3.607
In 5.411 5.411 5.411
```

Calculated values
energy relative to the elements = 1.56 eV/atom
space group = F-43m, No. 216
crystal system = cubic
offset from the most stable computed form = 874 meV/atom


The following is a DFT calculation (PBE) of an optimized crystal structure of Zr6NiN4.

Cell and atoms, written as extended XYZ:
```
22
Lattice="1.652 -5.509 0.000 1.652 5.509 0.000 0.000 0.000 17.149" Properties=species:S:1:pos:R:3 pbc="T T T"
Zr 0.000 0.000 0.000
Zr 0.000 0.000 8.575
Zr 1.652 3.731 12.862
Zr 1.652 2.473 1.361
Zr 1.652 2.473 7.214
Zr 1.652 0.431 11.213
Zr 1.652 0.431 14.511
Zr 1.652 -0.431 2.638
Zr 1.652 -0.431 5.936
Zr 1.652 -2.473 9.936
Zr 1.652 -2.473 15.789
Zr 1.652 -3.731 4.287
Ni 1.652 3.758 4.287
Ni 1.652 -3.758 12.862
N 1.652 4.473 10.668
N 1.652 4.473 15.056
N 1.652 1.510 9.262
N 1.652 1.510 16.462
N 1.652 -1.510 0.687
N 1.652 -1.510 7.888
N 1.652 -4.473 2.093
N 1.652 -4.473 6.482
```

Calculated values
uncorrected formation energy = -1359 meV/atom
space group = Cmcm, No. 63
crystal system = orthorhombic


The following is a DFT calculation (PBE) of an optimized crystal structure of CuAs2Br.

Cell and atoms, written as extended XYZ:
```
4
Lattice="3.194 0.000 0.000 0.000 3.194 0.000 0.000 0.000 8.767" Properties=species:S:1:pos:R:3 pbc="T T T"
Cu 0.000 0.000 0.000
As 1.597 1.597 1.304
As 1.597 1.597 7.463
Br 0.000 0.000 4.384
```

Calculated values
uncorrected formation energy = 255 meV/atom
space group = P4/mmm, No. 123
crystal system = tetragonal
offset from the most stable computed form = 280 meV/atom